{
  "formula": "HfMo",
  "functional": "PBE-GGA",
  "state": "relaxed",
  "relative_energy_mev_per_atom": 0,
  "total_magnetization_mub_per_atom": 0.00,
  "cell": [[3.300, 0.000, 0.000], [0.000, 4.705, 0.000], [0.000, 0.000, 9.539]],
  "species": ["Mo", "Mo", "Mo", "Mo", "Hf", "Hf", "Hf", "Hf"],
  "fractional_positions": [[0.500, 0.750, 0.643], [0.000, 0.750, 0.857], [0.500, 0.250, 0.357], [0.000, 0.250, 0.143], [0.000, 0.250, 0.615], [0.500, 0.250, 0.885], [0.500, 0.750, 0.115], [0.000, 0.750, 0.385]]
}